No. 1
First-principles (PBEsol) data for a relaxed structure of Ca2CuAs2H4O10, as listed in Alexandria.

Summary:
Electronic total energy (eV per atom): -6.05

Cell and atoms, written as CIF:
```
data_Ca2CuAs2H4O10
_chemical_formula_sum 'Ca4 Cu2 As4 H8 O20'
_cell_length_a 5.887
_cell_length_b 12.739
_cell_length_c 5.774
_cell_angle_alpha 90.00
_cell_angle_beta 110.66
_cell_angle_gamma 90.00
_space_group_name_H-M_alt 'P 1 21/c 1'
_space_group_IT_number 14
_space_group_name_Hall '-P 2ybc'
loop_
_atom_site_label
_atom_site_fract_x
_atom_site_fract_y
_atom_site_fract_z
Ca1 0.071 0.122 0.210
Cu1 0.500 0.000 0.000
As1 0.264 0.623 0.957
H1 0.209 0.144 0.782
H2 0.419 0.207 0.986
O1 0.031 0.706 0.949
O2 0.189 0.554 0.686
O3 0.255 0.537 0.188
O4 0.327 0.135 0.956
O5 0.460 0.180 0.474
```


No. 2
First-principles (PBEsol) data for a relaxed structure of CaCuAs2O7, as listed in Alexandria.

Summary:
Electronic total energy (eV per atom): -6.35

Cell and atoms, written as CIF:
```
data_CaCuAs2O7
_chemical_formula_sum 'Ca4 Cu4 As8 O28'
_cell_length_a 7.219
_cell_length_b 8.928
_cell_length_c 9.274
_cell_angle_alpha 90.00
_cell_angle_beta 109.34
_cell_angle_gamma 90.00
_space_group_name_H-M_alt 'P 1 21/c 1'
_space_group_IT_number 14
_space_group_name_Hall '-P 2ybc'
loop_
_atom_site_label
_atom_site_fract_x
_atom_site_fract_y
_atom_site_fract_z
Ca1 0.248 0.065 0.444
Cu1 0.215 0.053 0.816
As1 0.022 0.698 0.456
As2 0.420 0.740 0.737
O1 0.006 0.587 0.303
O2 0.009 0.618 0.917
O3 0.157 0.178 0.964
O4 0.252 0.636 0.584
O5 0.348 0.577 0.214
O6 0.361 0.232 0.796
O7 0.426 0.645 0.896
```


No. 3
First-principles (PBEsol) data for a relaxed structure of CaCuAsO5, as listed in Alexandria.

Summary:
Electronic total energy (eV per atom): -6.24

Cell and atoms, written as CIF:
```
data_CaCuAsO5
_chemical_formula_sum 'Ca4 Cu4 As4 O20'
_cell_length_a 5.637
_cell_length_b 7.537
_cell_length_c 9.344
_cell_angle_alpha 90.00
_cell_angle_beta 90.00
_cell_angle_gamma 90.00
_space_group_name_H-M_alt 'P 21 21 21'
_space_group_IT_number 19
_space_group_name_Hall 'P 2ac 2ab'
loop_
_atom_site_label
_atom_site_fract_x
_atom_site_fract_y
_atom_site_fract_z
Ca1 0.020 0.213 0.170
Cu1 0.247 0.750 0.000
As1 0.017 0.554 0.699
O1 0.003 0.138 0.415
O2 0.003 0.344 0.609
O3 0.079 0.712 0.576
O4 0.241 0.463 0.306
O5 0.242 0.936 0.228
```


No. 4
First-principles (PBEsol) data for a relaxed structure of RbCaCuAs2, as listed in Alexandria.

Summary:
Electronic total energy (eV per atom): -2.05

Cell and atoms, written as CIF:
```
data_RbCaCuAs2
_chemical_formula_sum 'Rb1 Ca1 Cu1 As2'
_cell_length_a 5.481
_cell_length_b 5.481
_cell_length_c 5.393
_cell_angle_alpha 90.00
_cell_angle_beta 90.00
_cell_angle_gamma 90.00
_space_group_name_H-M_alt 'P 4/m m m'
_space_group_IT_number 123
_space_group_name_Hall '-P 4 2'
loop_
_atom_site_label
_atom_site_fract_x
_atom_site_fract_y
_atom_site_fract_z
Rb1 0.000 0.000 0.000
Ca1 0.000 0.000 0.500
Cu1 0.500 0.500 0.500
As1 0.000 0.500 0.000
```


No. 5
First-principles (PBEsol) data for a relaxed structure of CaAsF2, as listed in Alexandria.

Summary:
Distance to the lowest polymorph of the same formula (kJ/mol of atoms): 106.1
Electronic total energy (eV per atom): -4.01

Cell and atoms, written as CIF:
```
data_CaAsF2
_chemical_formula_sum 'Ca3 As3 F6'
_cell_length_a 3.1960
_cell_length_b 3.1960
_cell_length_c 24.2582
_cell_angle_alpha 90.00
_cell_angle_beta 90.00
_cell_angle_gamma 120.00
_space_group_name_H-M_alt 'R -3 m'
_space_group_IT_number 166
_space_group_name_Hall '-R 3 2"'
loop_
_atom_site_label
_atom_site_fract_x
_atom_site_fract_y
_atom_site_fract_z
Ca1 0.0000 0.0000 0.0000
As1 0.0000 0.0000 0.5000
F1 0.0000 0.0000 0.0861
```


No. 6
First-principles (PBEsol) data for a relaxed structure of CaAs2F, as listed in Alexandria.

Summary:
Electronic total energy (eV per atom): -4.06

Cell and atoms, written as CIF:
```
data_CaAs2F
_chemical_formula_sum 'Ca4 As8 F4'
_cell_length_a 6.677
_cell_length_b 6.677
_cell_length_c 6.677
_cell_angle_alpha 90.00
_cell_angle_beta 90.00
_cell_angle_gamma 90.00
_space_group_name_H-M_alt 'F m -3 m'
_space_group_IT_number 225
_space_group_name_Hall '-F 4 2 3'
loop_
_atom_site_label
_atom_site_fract_x
_atom_site_fract_y
_atom_site_fract_z
Ca1 0.000 0.000 0.000
As1 0.250 0.250 0.250
F1 0.000 0.000 0.500
```


No. 7
First-principles (PBEsol) data for a relaxed structure of CaAs2F12, as listed in Alexandria.

Summary:
Electronic total energy (eV per atom): -4.85

Cell and atoms, written as CIF:
```
data_CaAs2F12
_chemical_formula_sum 'Ca1 As2 F12'
_cell_length_a 5.425
_cell_length_b 5.425
_cell_length_c 7.589
_cell_angle_alpha 90.00
_cell_angle_beta 90.00
_cell_angle_gamma 90.00
_space_group_name_H-M_alt 'P -4 m 2'
_space_group_IT_number 115
_space_group_name_Hall 'P -4 -2'
loop_
_atom_site_label
_atom_site_fract_x
_atom_site_fract_y
_atom_site_fract_z
Ca1 0.000 0.000 0.000
As1 0.000 0.500 0.242
F1 0.000 0.500 0.005
F2 0.000 0.500 0.468
F3 0.223 0.264 0.225
```


No. 8
First-principles (PBEsol) data for a relaxed structure of CaAsF2, as listed in Alexandria.

Summary:
Distance to the lowest polymorph of the same formula (kJ/mol of atoms): 0.0
Electronic total energy (eV per atom): -5.11

Cell and atoms, written as CIF:
```
data_CaAsF2
_chemical_formula_sum 'Ca3 As3 F6'
_cell_length_a 3.2779
_cell_length_b 3.2779
_cell_length_c 27.3158
_cell_angle_alpha 90.00
_cell_angle_beta 90.00
_cell_angle_gamma 120.00
_space_group_name_H-M_alt 'R -3 m'
_space_group_IT_number 166
_space_group_name_Hall '-R 3 2"'
loop_
_atom_site_label
_atom_site_fract_x
_atom_site_fract_y
_atom_site_fract_z
Ca1 0.0000 0.0000 0.0000
As1 0.0000 0.0000 0.5000
F1 0.0000 0.0000 0.3736
```